The following is a PBE calculation of a geometry-optimized PdPtRh4 structure, from Alexandria.

Cell lengths 4.378, 5.383, 7.623 Å; angles 90.00, 90.00, 90.00 degrees
Space group Immm (No. 71)
One atom of each set of equivalent atoms:
Pd 0.000 0.000 0.000 [2 per cell]
Pt 0.000 0.500 0.000 [2 per cell]
Rh 0.000 0.250 0.334 [8 per cell]

Output
N(E_F)   26.61 states/eV/cell
Total energy   -6.571 eV/atom
Mass density   13.18 g/cm³
Excess energy over the best structure of this formula in the dataset   0 meV per atom
Energy relative to the elements   202 meV per atom